(1)
Computed, not measured: a geometry-optimized SbPtO2 structure at the PBE-GGA level of DFT.

Cell lengths 6.734, 6.734, 6.734 Å; angles 28.84, 28.84, 28.84 degrees
Sites, in units of the cell vectors:
Sb  0.500  0.500  0.500
O  0.896  0.896  0.896
O  0.104  0.104  0.104
Pt  0.000  0.000  0.000

Values from the calculation:
**Mass density**: 9.22 g/cm3
**ΔE_f (raw)**: -155 kJ/mol of formula units
**Symmetry**: R-3m

---

(2)
Computed, not measured: a geometry-optimized Sb2PtO structure at the PBE-GGA level of DFT.

Cell lengths 5.521, 5.521, 7.109 Å; angles 67.15, 67.15, 90.00 degrees
Sites, in units of the cell vectors:
Sb  0.581  0.125  0.250
Sb  0.169  0.625  0.250
Sb  0.375  0.419  0.750
Sb  0.875  0.831  0.750
O  0.500  0.500  0.000
O  0.250  0.750  0.500
Pt  0.000  0.000  0.000
Pt  0.750  0.250  0.500

Values from the calculation:
**Mass density**: 8.34 g/cm3
**ΔE_f (raw)**: -145 kJ/mol of formula units
**Symmetry**: I-42d

---

(3)
Computed, not measured: a geometry-optimized SrSb2PtO8 structure at the PBE-GGA level of DFT.

Cell lengths 4.935, 4.901, 6.540 Å; angles 90.00, 90.00, 87.25 degrees
Sites, in units of the cell vectors:
Sr  0.000  0.000  0.500
Sb  0.500  0.500  0.754
Sb  0.500  0.500  0.246
Pt  0.000  0.000  0.000
O  0.186  0.761  0.219
O  0.675  0.728  0.000
O  0.814  0.239  0.219
O  0.814  0.239  0.781
O  0.325  0.272  0.000
O  0.186  0.761  0.781
O  0.644  0.694  0.500
O  0.356  0.306  0.500

Values from the calculation:
**Mass density**: 6.88 g/cm3
**ΔE_f (raw)**: -1507 kJ/mol of formula units
**Symmetry**: P2/m